LaPRh | PBE | relaxed Values from VASP.

Geometry as Quantum ESPRESSO input:
```
&SYSTEM
  ibrav = 0, nat = 3, ntyp = 3
/
ATOMIC_SPECIES
La 138.91 La.upf
Rh 102.91 Rh.upf
P 30.97 P.upf
ATOMIC_POSITIONS crystal
La 0.750 0.750 0.750
Rh 0.500 0.500 0.500
P 0.000 0.000 0.000
CELL_PARAMETERS angstrom
0.000 3.345 3.345
3.345 0.000 3.345
3.345 3.345 0.000
```

Properties
- Calculated volume: 24.95 A^3/atom
- Formation enthalpy at 0 K: -0.1 eV/f.u.
- Total magnetic moment: 0.0000 μB per atom
- E_tot: -17.81 eV per formula unit
- SG: F-43m (216)